## Tb4In3Hg (PBE-GGA)

Data for a relaxed Tb4In3Hg crystal.

Results
* formation energy from the elements: -0.475 eV per atom
* space-group type: P4/mmm (123)
* relative energy among the computed polymorphs: 0 meV/atom
* calculated total energy: -3.855 eV/atom
* M_tot: 0.0 Bohr magnetons per cell

a = 3.7652 Å, b = 3.7652 Å, c = 15.0864 Å
α = 90.00°, β = 90.00°, γ = 90.00°
Atoms (fractional coordinates):
Tb1 0.0000 0.0000 0.8785
Tb2 0.0000 0.0000 0.1215
Tb3 0.0000 0.0000 0.3741
Tb4 0.0000 0.0000 0.6259
Hg1 0.5000 0.5000 0.0000
In1 0.5000 0.5000 0.2477
In2 0.5000 0.5000 0.5000
In3 0.5000 0.5000 0.7523

## Tb2In4Hg (PBE-GGA)

Data for a relaxed Tb2In4Hg crystal.

Results
* formation energy from the elements: -0.291 eV per atom
* space-group type: Cmmm (65)
* calculated total energy: -3.222 eV/atom
* M_tot: 0.0 Bohr magnetons per cell

a = 4.5330 Å, b = 6.4969 Å, c = 6.4969 Å
α = 87.56°, β = 90.00°, γ = 90.00°
Atoms (fractional coordinates):
Tb1 0.0000 0.7515 0.2485
Tb2 0.0000 0.2485 0.7515
Hg1 0.5000 0.5000 0.5000
In1 0.0000 0.7599 0.7599
In2 0.0000 0.2401 0.2401
In3 0.5000 0.0000 0.5000
In4 0.5000 0.5000 0.0000